Here is a PBEsol-optimized structure of AlCo3H from the Alexandria database. Energies are from SCAN.

Geometry as POSCAR:
```
AlCo3H
1.0
3.540 0.000 0.000
0.000 3.540 0.000
0.000 0.000 3.540
Co Al H
3 1 1
Direct
0.000 0.500 0.000 Co
0.500 0.000 0.000 Co
0.000 0.000 0.500 Co
0.500 0.500 0.500 Al
0.000 0.000 0.000 H
```

Properties
Calculated total energy ... -12.746 eV/atom
Mass density ... 7.66 g cm⁻³

---

Here is a PBEsol-optimized structure of LiY3Hg from the Alexandria database. Energies are from SCAN.

Geometry as POSCAR:
```
LiY3Hg
1.0
-0.373 3.283 3.952
0.415 -3.930 3.304
5.121 0.558 0.020
Y Hg Li
3 1 1
Direct
0.000 0.000 0.500 Y
0.500 0.000 0.000 Y
0.000 0.500 0.000 Y
0.500 0.500 0.500 Hg
0.000 0.000 0.000 Li
```

Properties
Energy relative to the elements ... 0.3684 eV per atom
Mass density ... 5.76 g cm⁻³